# 1
Computed, not measured: RbNpIn2Br6 after structural relaxation at the PBE-GGA level of DFT.

Results
For the formation energy from raw total energies, the calculation gives -111.42 kJ per mole of atoms. For the total magnetization, the calculation gives 4.000 Bohr magnetons per cell.

Cell lengths 8.2218, 8.2288, 8.6213 Å; angles 61.54, 61.53, 60.04 degrees
With the nearest neighbours (Å) after each atom.
Fractional positions:
Rb: 0.0000 0.0000 0.0000  6 Br 3.41-3.55
Np: 0.4884 0.4887 0.5342  6 Br 2.89-2.93
In: 0.2901 0.2905 0.1289  6 Br 3.27-3.43
In: 0.7983 0.7985 0.6048  6 Br 3.28-3.38
Br: 0.1238 0.4112 0.7973  1 Np 2.93, 2 In 3.27-3.28
Br: 0.2453 0.8355 0.3209  1 Np 2.89
Br: 0.4108 0.6671 0.7979  1 Np 2.93, 2 In 3.27-3.28
Br: 0.5983 0.2455 0.3207  1 Np 2.89
Br: 0.6668 0.1246 0.7977  1 Np 2.93, 2 In 3.27-3.28
Br: 0.8356 0.5985 0.3211  1 Np 2.89

# 2
Computed, not measured: NpInSnBr6 after structural relaxation at the PBE-GGA level of DFT.

Results
For the formation energy from raw total energies, the calculation gives -95.78 kJ per mole of atoms. For the total magnetization, the calculation gives 8.000 Bohr magnetons per cell.

Cell lengths 7.6684, 7.6684, 14.0701 Å; angles 90.00, 90.00, 120.00 degrees
With the nearest neighbours (Å) after each atom.
Fractional positions:
Np: 0.3333 0.6667 0.2500  6 Br 2.90
Np: 0.6667 0.3333 0.7500  6 Br 2.90
In: 0.0000 0.0000 0.0000  6 Br 3.35
In: 0.0000 0.0000 0.5000  6 Br 3.35
Sn: 0.3333 0.6667 0.7500  6 Br 3.00
Sn: 0.6667 0.3333 0.2500  6 Br 3.00
Br: 0.0103 0.3662 0.1337  1 Np 2.90, 1 Sn 3.00
Br: 0.0103 0.6441 0.3663  1 Np 2.90, 1 Sn 3.00
Br: 0.3559 0.3662 0.3663  1 Np 2.90, 1 Sn 3.00
Br: 0.3559 0.9897 0.1337  1 Np 2.90, 1 Sn 3.00
Br: 0.3662 0.0103 0.6337  1 Np 2.90, 1 Sn 3.00
Br: 0.3662 0.3559 0.8663  1 Np 2.90, 1 Sn 3.00
Br: 0.6338 0.6441 0.1337  1 Np 2.90, 1 Sn 3.00
Br: 0.6338 0.9897 0.3663  1 Np 2.90, 1 Sn 3.00
Br: 0.6441 0.0103 0.8663  1 Np 2.90, 1 Sn 3.00
Br: 0.6441 0.6338 0.6337  1 Np 2.90, 1 Sn 3.00
Br: 0.9897 0.3559 0.6337  1 Np 2.90, 1 Sn 3.00
Br: 0.9897 0.6338 0.8663  1 Np 2.90, 1 Sn 3.00

# 3
Computed, not measured: SrNpInBr6 after structural relaxation at the PBE-GGA level of DFT.

Results
For the formation energy from raw total energies, the calculation gives -138.60 kJ per mole of atoms. For the total magnetization, the calculation gives 8.000 Bohr magnetons per cell.

Cell lengths 7.7825, 7.7825, 13.9627 Å; angles 90.00, 90.00, 120.00 degrees
With the nearest neighbours (Å) after each atom.
Fractional positions:
Sr: 0.3333 0.6667 0.2500  6 Br 3.07
Sr: 0.6667 0.3333 0.7500  6 Br 3.07
Np: 0.3333 0.6667 0.7500  6 Br 2.90
Np: 0.6667 0.3333 0.2500  6 Br 2.90
In: 0.0000 0.0000 0.0000  6 Br 3.37
In: 0.0000 0.0000 0.5000  6 Br 3.37
Br: 0.0165 0.3697 0.6322  1 Np 2.90, 1 Sr 3.07
Br: 0.0165 0.6469 0.8678  1 Np 2.90, 1 Sr 3.07
Br: 0.3531 0.3697 0.8678  1 Np 2.90, 1 Sr 3.07
Br: 0.3531 0.9835 0.6322  1 Np 2.90, 1 Sr 3.07
Br: 0.3697 0.0165 0.1322  1 Np 2.90, 1 Sr 3.07
Br: 0.3697 0.3531 0.3678  1 Np 2.90, 1 Sr 3.07
Br: 0.6303 0.6469 0.6322  1 Np 2.90, 1 Sr 3.07
Br: 0.6303 0.9835 0.8678  1 Np 2.90, 1 Sr 3.07
Br: 0.6469 0.0165 0.3678  1 Np 2.90, 1 Sr 3.07
Br: 0.6469 0.6303 0.1322  1 Np 2.90, 1 Sr 3.07
Br: 0.9835 0.3531 0.1322  1 Np 2.90, 1 Sr 3.07
Br: 0.9835 0.6303 0.3678  1 Np 2.90, 1 Sr 3.07

# 4
Computed, not measured: SrNpIn2Br8 after structural relaxation at the PBE-GGA level of DFT.

Results
For the formation energy from raw total energies, the calculation gives -121.03 kJ per mole of atoms. For the total magnetization, the calculation gives 2.961 Bohr magnetons per cell.

Cell lengths 7.1895, 9.0467, 7.4994 Å; angles 90.00, 92.24, 90.00 degrees
With the nearest neighbours (Å) after each atom.
Fractional positions:
Sr: 0.0000 0.0000 0.0000  6 Br 3.05-3.13
Np: 0.0000 0.5000 0.0000  6 Br 2.73-2.83
In: 0.5000 0.2468 0.5000  4 Br 3.07-3.38
In: 0.5000 0.7532 0.5000  4 Br 3.07-3.38
Br: 0.2065 0.5000 0.3134  1 Np 2.73
Br: 0.2252 0.2721 0.8662  1 Np 2.83, 1 Sr 3.13
Br: 0.2252 0.7279 0.8662  1 Np 2.83, 1 Sr 3.13
Br: 0.2577 0.0000 0.3320  1 Sr 3.05, 2 In 3.07
Br: 0.7423 0.0000 0.6680  1 Sr 3.05, 2 In 3.07
Br: 0.7748 0.2721 0.1338  1 Np 2.83, 1 Sr 3.13
Br: 0.7748 0.7279 0.1338  1 Np 2.83, 1 Sr 3.13
Br: 0.7935 0.5000 0.6866  1 Np 2.73

# 5
Computed, not measured: NpTlIn2Br8 after structural relaxation at the PBE-GGA level of DFT.

Results
For the formation energy from raw total energies, the calculation gives -88.06 kJ per mole of atoms. For the total magnetization, the calculation gives 2.650 Bohr magnetons per cell.

Cell lengths 6.8725, 7.3620, 9.3272 Å; angles 90.01, 90.07, 90.44 degrees
With the nearest neighbours (Å) after each atom.
Fractional positions:
Np: 0.0000 0.0000 0.0000  6 Br 2.75-2.77
Tl: 0.0000 0.0000 0.5000  6 Br 3.27-3.33
In: 0.4997 0.4999 0.2587  4 Br 2.91-3.19
In: 0.5003 0.5001 0.7413  4 Br 2.91-3.19
Br: 0.2243 0.6918 0.9998  1 Np 2.75
Br: 0.2385 0.1459 0.7891  1 Np 2.77
Br: 0.2389 0.1452 0.2114  1 Np 2.77
Br: 0.2821 0.6448 0.4999  2 In 2.91
Br: 0.7179 0.3552 0.5001  2 In 2.91
Br: 0.7611 0.8548 0.7886  1 Np 2.77
Br: 0.7615 0.8541 0.2109  1 Np 2.77
Br: 0.7757 0.3082 0.0002  1 Np 2.75

# 6
Computed, not measured: NpTl2InBr6 after structural relaxation at the PBE-GGA level of DFT.

Results
For the formation energy from raw total energies, the calculation gives -98.02 kJ per mole of atoms. For the total magnetization, the calculation gives 8.000 Bohr magnetons per cell.

Cell lengths 7.7995, 8.6402, 13.3707 Å; angles 90.00, 121.97, 90.00 degrees
With the nearest neighbours (Å) after each atom.
Fractional positions:
Np: 0.0000 0.0000 0.0000  6 Br 2.89-2.90
Np: 0.0000 0.5000 0.5000  6 Br 2.89-2.90
Tl: 0.2987 0.0851 0.7650  5 Br 3.30-3.53
Tl: 0.2987 0.4149 0.2650  5 Br 3.30-3.53
Tl: 0.7013 0.5851 0.7350  5 Br 3.30-3.53
Tl: 0.7013 0.9149 0.2350  5 Br 3.30-3.53
In: 0.5000 0.0000 0.5000  6 Br 3.26-3.32
In: 0.5000 0.5000 0.0000  6 Br 3.26-3.32
Br: 0.0937 0.0616 0.2367  1 Np 2.90
Br: 0.0937 0.4384 0.7367  1 Np 2.90
Br: 0.2349 0.7167 0.0760  1 Np 2.90
Br: 0.2349 0.7833 0.5760  1 Np 2.90
Br: 0.3573 0.1716 0.0531  1 Np 2.89
Br: 0.3573 0.3284 0.5531  1 Np 2.89
Br: 0.6427 0.6716 0.4469  1 Np 2.89
Br: 0.6427 0.8284 0.9469  1 Np 2.89
Br: 0.7651 0.2167 0.4240  1 Np 2.90
Br: 0.7651 0.2833 0.9240  1 Np 2.90
Br: 0.9063 0.5616 0.2633  1 Np 2.90
Br: 0.9063 0.9384 0.7633  1 Np 2.90

# 7
Computed, not measured: NpTlInBr6 after structural relaxation at the PBE-GGA level of DFT.

Results
For the formation energy from raw total energies, the calculation gives -101.10 kJ per mole of atoms. For the total magnetization, the calculation gives 6.000 Bohr magnetons per cell.

Cell lengths 7.3833, 7.3833, 13.9128 Å; angles 90.00, 90.00, 90.00 degrees
With the nearest neighbours (Å) after each atom.
Fractional positions:
Np: 0.0000 0.0000 0.0000  6 Br 2.77-2.80
Np: 0.5000 0.5000 0.5000  6 Br 2.77-2.80
Tl: 0.0000 0.0000 0.6660  6 Br 3.28-3.39
Tl: 0.5000 0.5000 0.1660  6 Br 3.28-3.39
In: 0.0000 0.0000 0.3329  6 Br 3.18-3.35
In: 0.5000 0.5000 0.8329  6 Br 3.18-3.35
Br: 0.1806 0.1806 0.1484  1 Np 2.80
Br: 0.1863 0.1863 0.8561  1 Np 2.79
Br: 0.2344 0.2344 0.4977  1 Np 2.77
Br: 0.2656 0.7344 0.9977  1 Np 2.77
Br: 0.3137 0.6863 0.3561  1 Np 2.79
Br: 0.3194 0.6806 0.6484  1 Np 2.80
Br: 0.6806 0.3194 0.6484  1 Np 2.80
Br: 0.6863 0.3137 0.3561  1 Np 2.79
Br: 0.7344 0.2656 0.9977  1 Np 2.77
Br: 0.7656 0.7656 0.4977  1 Np 2.77
Br: 0.8137 0.8137 0.8561  1 Np 2.79
Br: 0.8194 0.8194 0.1484  1 Np 2.80

# 8
Computed, not measured: InBrO4 after structural relaxation at the PBE-GGA level of DFT.

Results
For the formation energy from raw total energies, the calculation gives -35.67 kJ per mole of atoms. For the total magnetization, the calculation gives 0.000 Bohr magnetons per cell.

Cell lengths 5.7471, 5.7471, 6.4415 Å; angles 91.20, 91.20, 57.14 degrees
With the nearest neighbours (Å) after each atom.
Fractional positions:
In: 0.0000 0.5000 0.0000  6 O 2.19-2.28
In: 0.5000 0.0000 0.5000  6 O 2.19-2.28
Br: 0.0600 0.9400 0.2500  2 O 1.73
Br: 0.9400 0.0600 0.7500  2 O 1.73
O: 0.1519 0.2359 0.7208  1 Br 1.97, 1 In 2.19
O: 0.2354 0.7133 0.0461  1 Br 1.73
O: 0.2359 0.1519 0.2208  1 Br 1.97, 1 In 2.19
O: 0.2867 0.7646 0.4539  1 Br 1.73
O: 0.7133 0.2354 0.5461  1 Br 1.73
O: 0.7641 0.8481 0.7792  1 Br 1.97, 1 In 2.19
O: 0.7646 0.2867 0.9539  1 Br 1.73
O: 0.8481 0.7641 0.2792  1 Br 1.97, 1 In 2.19